First-principles (PBE) data for crystalline Na2MnSn2 at its relaxed geometry, as listed in Alexandria via LeMat-Bulk.

The structure in POSCAR format:
```
Na2MnSn2
1.0
7.170 0.000 0.000
0.000 7.170 0.000
0.000 0.000 5.107
Na Mn Sn
4 2 4
Cartesian
1.188 4.773 2.554
4.773 5.982 2.554
5.982 2.397 2.554
2.397 1.188 2.554
0.000 0.000 0.000
3.585 3.585 0.000
2.530 6.115 0.000
6.115 4.640 0.000
4.640 1.055 0.000
1.055 2.530 0.000
```

Computed properties:
- E_form: 0.05 eV per atom
- SG: P4/mbm
- Total moment: 3.7 μB per formula unit